--- w ---
# CsSb2Ir, relaxed, DFT PBE-GGA
# - crystal system = cubic
# - total magnetization (μB/f.u.) = 0.0
data_CsSb2Ir
_symmetry_space_group_name_H-M 'F m -3 m'
_symmetry_Int_Tables_number 225
_symmetry_space_group_name_Hall '-F 4 2 3'
_cell_length_a 7.417
_cell_length_b 7.417
_cell_length_c 7.417
_cell_angle_alpha 90.00
_cell_angle_beta 90.00
_cell_angle_gamma 90.00
loop_
_atom_site_label
_atom_site_type_symbol
_atom_site_fract_x
_atom_site_fract_y
_atom_site_fract_z
Cs1 Cs 0.000 0.000 0.000
Sb1 Sb 0.250 0.250 0.250
Ir1 Ir 0.000 0.000 0.500


--- x ---
# CsSb2Ir, relaxed, DFT PBE-GGA
# - crystal system = tetragonal
# - total magnetization (μB/f.u.) = 0.0
data_CsSb2Ir
_symmetry_space_group_name_H-M 'P 4/m m m'
_symmetry_Int_Tables_number 123
_symmetry_space_group_name_Hall '-P 4 2'
_cell_length_a 3.424
_cell_length_b 3.424
_cell_length_c 9.283
_cell_angle_alpha 90.00
_cell_angle_beta 90.00
_cell_angle_gamma 90.00
loop_
_atom_site_label
_atom_site_type_symbol
_atom_site_fract_x
_atom_site_fract_y
_atom_site_fract_z
Cs1 Cs 0.000 0.000 0.000
Sb1 Sb 0.500 0.500 0.332
Ir1 Ir 0.000 0.000 0.500


--- y ---
# CsSb2Ir, relaxed, DFT PBE-GGA
# - crystal system = trigonal
# - total magnetization (μB/f.u.) = 0.0
data_CsSb2Ir
_symmetry_space_group_name_H-M 'R -3 m'
_symmetry_Int_Tables_number 166
_symmetry_space_group_name_Hall '-R 3 2"'
_cell_length_a 4.3551
_cell_length_b 4.3551
_cell_length_c 23.1196
_cell_angle_alpha 90.00
_cell_angle_beta 90.00
_cell_angle_gamma 120.00
loop_
_atom_site_label
_atom_site_type_symbol
_atom_site_fract_x
_atom_site_fract_y
_atom_site_fract_z
Cs1 Cs 0.0000 0.0000 0.0000
Sb1 Sb 0.0000 0.0000 0.2110
Ir1 Ir 0.0000 0.0000 0.5000


--- z ---
# CsSb2Ir, relaxed, DFT PBE-GGA
# - crystal system = trigonal
# - total magnetization (μB/f.u.) = 0.0
data_CsSb2Ir
_symmetry_space_group_name_H-M 'R 3 m'
_symmetry_Int_Tables_number 160
_symmetry_space_group_name_Hall 'R 3 -2"'
_cell_length_a 4.3476
_cell_length_b 4.3476
_cell_length_c 23.5378
_cell_angle_alpha 90.00
_cell_angle_beta 90.00
_cell_angle_gamma 120.00
loop_
_atom_site_label
_atom_site_type_symbol
_atom_site_fract_x
_atom_site_fract_y
_atom_site_fract_z
Cs1 Cs 0.0000 0.0000 0.0000
Sb1 Sb 0.0000 0.0000 0.5456
Sb2 Sb 0.0000 0.0000 0.7912
Ir1 Ir 0.0000 0.0000 0.1738


y is preferred energetically. Next in line: 7 meV per atom higher.


--- w ---
# CsSb3Ir, relaxed, DFT PBE-GGA
# - crystal system = cubic
# - total magnetization (μB/f.u.) = 1.8
data_CsSb3Ir
_symmetry_space_group_name_H-M 'P m -3 m'
_symmetry_Int_Tables_number 221
_symmetry_space_group_name_Hall '-P 4 2 3'
_cell_length_a 5.975
_cell_length_b 5.975
_cell_length_c 5.975
_cell_angle_alpha 90.00
_cell_angle_beta 90.00
_cell_angle_gamma 90.00
loop_
_atom_site_label
_atom_site_type_symbol
_atom_site_fract_x
_atom_site_fract_y
_atom_site_fract_z
Cs1 Cs 0.000 0.000 0.000
Sb1 Sb 0.000 0.000 0.500
Ir1 Ir 0.500 0.500 0.500


--- x ---
# CsSb3Ir, relaxed, DFT PBE-GGA
# - crystal system = cubic
# - total magnetization (μB/f.u.) = 0.0
data_CsSb3Ir
_symmetry_space_group_name_H-M 'P m -3 m'
_symmetry_Int_Tables_number 221
_symmetry_space_group_name_Hall '-P 4 2 3'
_cell_length_a 5.425
_cell_length_b 5.425
_cell_length_c 5.425
_cell_angle_alpha 90.00
_cell_angle_beta 90.00
_cell_angle_gamma 90.00
loop_
_atom_site_label
_atom_site_type_symbol
_atom_site_fract_x
_atom_site_fract_y
_atom_site_fract_z
Cs1 Cs 0.000 0.000 0.000
Sb1 Sb 0.000 0.500 0.500
Ir1 Ir 0.500 0.500 0.500


x is preferred energetically. Next in line: 2276 meV per atom higher.


--- w ---
# CsSb2TeIr, relaxed, DFT PBE-GGA
# - crystal system = tetragonal
# - total magnetization (μB/f.u.) = 2.2
data_CsSb2TeIr
_symmetry_space_group_name_H-M 'P 4/m m m'
_symmetry_Int_Tables_number 123
_symmetry_space_group_name_Hall '-P 4 2'
_cell_length_a 6.186
_cell_length_b 6.186
_cell_length_c 6.125
_cell_angle_alpha 90.00
_cell_angle_beta 90.00
_cell_angle_gamma 90.00
loop_
_atom_site_label
_atom_site_type_symbol
_atom_site_fract_x
_atom_site_fract_y
_atom_site_fract_z
Cs1 Cs 0.000 0.000 0.000
Sb1 Sb 0.000 0.500 0.000
Te1 Te 0.000 0.000 0.500
Ir1 Ir 0.500 0.500 0.500


--- x ---
# CsSb2TeIr, relaxed, DFT PBE-GGA
# - crystal system = tetragonal
# - total magnetization (μB/f.u.) = 0.0
data_CsSb2TeIr
_symmetry_space_group_name_H-M 'P 4/m m m'
_symmetry_Int_Tables_number 123
_symmetry_space_group_name_Hall '-P 4 2'
_cell_length_a 5.178
_cell_length_b 5.178
_cell_length_c 6.150
_cell_angle_alpha 90.00
_cell_angle_beta 90.00
_cell_angle_gamma 90.00
loop_
_atom_site_label
_atom_site_type_symbol
_atom_site_fract_x
_atom_site_fract_y
_atom_site_fract_z
Cs1 Cs 0.000 0.000 0.000
Sb1 Sb 0.000 0.500 0.500
Te1 Te 0.500 0.500 0.000
Ir1 Ir 0.500 0.500 0.500


x is preferred energetically. Next in line: 2341 meV per atom higher.


--- w ---
# CsSbTe2Ir, relaxed, DFT PBE-GGA
# - crystal system = tetragonal
# - total magnetization (μB/f.u.) = 0.0
data_CsSbTe2Ir
_symmetry_space_group_name_H-M 'P 4/m m m'
_symmetry_Int_Tables_number 123
_symmetry_space_group_name_Hall '-P 4 2'
_cell_length_a 5.723
_cell_length_b 5.723
_cell_length_c 5.031
_cell_angle_alpha 90.00
_cell_angle_beta 90.00
_cell_angle_gamma 90.00
loop_
_atom_site_label
_atom_site_type_symbol
_atom_site_fract_x
_atom_site_fract_y
_atom_site_fract_z
Cs1 Cs 0.000 0.000 0.000
Sb1 Sb 0.500 0.500 0.000
Te1 Te 0.000 0.500 0.500
Ir1 Ir 0.500 0.500 0.500


--- x ---
# CsSbTe2Ir, relaxed, DFT PBE-GGA
# - crystal system = tetragonal
# - total magnetization (μB/f.u.) = 3.6
data_CsSbTe2Ir
_symmetry_space_group_name_H-M 'P 4/m m m'
_symmetry_Int_Tables_number 123
_symmetry_space_group_name_Hall '-P 4 2'
_cell_length_a 6.427
_cell_length_b 6.427
_cell_length_c 6.409
_cell_angle_alpha 90.00
_cell_angle_beta 90.00
_cell_angle_gamma 90.00
loop_
_atom_site_label
_atom_site_type_symbol
_atom_site_fract_x
_atom_site_fract_y
_atom_site_fract_z
Cs1 Cs 0.000 0.000 0.000
Sb1 Sb 0.000 0.000 0.500
Te1 Te 0.000 0.500 0.000
Ir1 Ir 0.500 0.500 0.500


w is preferred energetically. Next in line: 2252 meV per atom higher.


--- w ---
# CsScIr3, relaxed, DFT PBE-GGA
# - crystal system = cubic
# - total magnetization (μB/f.u.) = 0.0
data_CsScIr3
_symmetry_space_group_name_H-M 'P m -3 m'
_symmetry_Int_Tables_number 221
_symmetry_space_group_name_Hall '-P 4 2 3'
_cell_length_a 4.972
_cell_length_b 4.972
_cell_length_c 4.972
_cell_angle_alpha 90.00
_cell_angle_beta 90.00
_cell_angle_gamma 90.00
loop_
_atom_site_label
_atom_site_type_symbol
_atom_site_fract_x
_atom_site_fract_y
_atom_site_fract_z
Cs1 Cs 0.000 0.000 0.000
Sc1 Sc 0.500 0.500 0.500
Ir1 Ir 0.000 0.500 0.500


--- x ---
# CsScIr3, relaxed, DFT PBE-GGA
# - crystal system = cubic
# - total magnetization (μB/f.u.) = 0.0
data_CsScIr3
_symmetry_space_group_name_H-M 'P m -3 m'
_symmetry_Int_Tables_number 221
_symmetry_space_group_name_Hall '-P 4 2 3'
_cell_length_a 4.959
_cell_length_b 4.959
_cell_length_c 4.959
_cell_angle_alpha 90.00
_cell_angle_beta 90.00
_cell_angle_gamma 90.00
loop_
_atom_site_label
_atom_site_type_symbol
_atom_site_fract_x
_atom_site_fract_y
_atom_site_fract_z
Cs1 Cs 0.000 0.000 0.000
Sc1 Sc 0.500 0.500 0.500
Ir1 Ir 0.000 0.000 0.500


w is preferred energetically. Next in line: 1026 meV per atom higher.


--- w ---
# Cs2ScIr, relaxed, DFT PBE-GGA
# - crystal system = tetragonal
# - total magnetization (μB/f.u.) = 0.0
data_Cs2ScIr
_symmetry_space_group_name_H-M 'I -4 2 d'
_symmetry_Int_Tables_number 122
_symmetry_space_group_name_Hall 'I -4 2bw'
_cell_length_a 13.460
_cell_length_b 13.460
_cell_length_c 4.867
_cell_angle_alpha 90.00
_cell_angle_beta 90.00
_cell_angle_gamma 90.00
loop_
_atom_site_label
_atom_site_type_symbol
_atom_site_fract_x
_atom_site_fract_y
_atom_site_fract_z
Cs1 Cs 0.083 0.250 0.125
Sc1 Sc 0.000 0.000 0.500
Ir1 Ir 0.000 0.000 0.000


--- x ---
# Cs2ScIr, relaxed, DFT PBE-GGA
# - crystal system = cubic
# - total magnetization (μB/f.u.) = 0.0
data_Cs2ScIr
_symmetry_space_group_name_H-M 'F m -3 m'
_symmetry_Int_Tables_number 225
_symmetry_space_group_name_Hall '-F 4 2 3'
_cell_length_a 7.820
_cell_length_b 7.820
_cell_length_c 7.820
_cell_angle_alpha 90.00
_cell_angle_beta 90.00
_cell_angle_gamma 90.00
loop_
_atom_site_label
_atom_site_type_symbol
_atom_site_fract_x
_atom_site_fract_y
_atom_site_fract_z
Cs1 Cs 0.250 0.250 0.250
Sc1 Sc 0.000 0.000 0.000
Ir1 Ir 0.000 0.000 0.500


w is preferred energetically. Next in line: 890 meV per atom higher.